A plane-wave DFT calculation with PBE was carried out for Li3Er2UTe6 after structural relaxation.

abc: 7.4986 12.9873 7.5039
angles: 90.00 109.46 90.00
With the nearest neighbours (Å) after each atom.
Space group C2/m (No. 12)
Unique sites:
Li1 0.0000 0.0000 0.0000  6 Te 3.00-3.05
Li2 0.0000 0.3340 0.0000  6 Te 3.01-3.05
Er1 0.0000 0.1666 0.5000  6 Te 3.07
U1 0.0000 0.5000 0.5000  6 Te 3.12-3.13
Te1 0.2450 0.1696 0.2434  3 Li 3.01-3.05, 2 Er 3.07, 1 U 3.12
Te2 0.2466 0.0000 0.7571  3 Li 3.00-3.05, 2 Er 3.07, 1 U 3.13

Results
Energy relative to the elements, uncorrected ... -1.09 eV per atom
Electronic total energy ... -4.84 eV per atom
Magnetic moment ... 2.967 μB per formula unit